Material: TaW2Br
Method: DFT, GGA-PBE
State: relaxed

a b c (Å): 3.169 3.169 7.237
angles (deg): 90.00 90.00 90.00
Positions (direct):
Ta 0.000 0.000 0.000
W 0.500 0.500 0.221
W 0.500 0.500 0.779
Br 0.000 0.000 0.500

## Properties
- Uncorrected energy: -9.091 eV/atom
- Formation energy without anion corrections: 767 meV per atom


Material: TaW2Br
Method: DFT, GGA-PBE
State: relaxed

a b c (Å): 5.457 5.457 5.457
angles (deg): 146.45 129.53 61.97
Positions (direct):
Ta 0.000 0.000 0.000
W 0.260 0.760 0.500
W 0.498 0.498 0.000
Br 0.744 0.244 0.500

## Properties
- Uncorrected energy: -8.965 eV/atom
- Formation energy without anion corrections: 893 meV per atom


Material: TaW2Br
Method: DFT, GGA-PBE
State: relaxed

a b c (Å): 4.979 4.979 5.092
angles (deg): 107.55 107.55 37.26
Positions (direct):
Ta 0.000 0.000 0.000
W 0.194 0.194 0.668
W 0.479 0.479 0.514
Br 0.755 0.755 0.149

## Properties
- Uncorrected energy: -9.026 eV/atom
- Formation energy without anion corrections: 832 meV per atom


Distance to the lowest polymorph of the same formula, record by record: 0.268, 0.394, 0.333 eV per atom